Entry 1:
## LiCeScIr (PBE)

Data for crystalline LiCeScIr at its relaxed geometry.

Summary:
energy of formation: -1.8 eV/f.u.
magnetic moment: 0.55 μB per cell
final energy: -0.2278 Ha/atom
space-group type: F-43m
ρ: 8.000 g cm⁻³

a b c (Å): 4.8316 4.8316 4.8316
angles (deg): 60.00 60.00 60.00
Last column: nearest neighbours and their distance in Å.
Fractional coordinates of all 4 atoms:
Ir 0.5000 0.5000 0.5000  4 Ce 2.96, 4 Sc 2.96
Li 0.0000 0.0000 0.0000  4 Sc 2.96, 4 Ce 2.96
Sc 0.2500 0.2500 0.2500  4 Ir 2.96, 4 Li 2.96
Ce 0.7500 0.7500 0.7500  4 Li 2.96, 4 Ir 2.96

***

Entry 2:
## LiCeSi2Ir (PBE)

Data for crystalline LiCeSi2Ir at its relaxed geometry.

Summary:
magnetic moment: 0.18 μB per cell
final energy: -0.2305 Ha/atom
space-group type: I-4m2
ρ: 7.737 g cm⁻³
E_form (uncorrected): -3.80 eV per formula unit

a b c (Å): 4.1074 4.1074 5.8090
angles (deg): 110.70 110.70 90.00
Last column: nearest neighbours and their distance in Å.
Fractional coordinates of all 5 atoms:
Si 0.6200 0.6200 0.2400  1 Si 2.42, 2 Li 2.43, 2 Ir 2.43
Si 0.3800 0.3800 0.7600  1 Si 2.42, 2 Li 2.43, 2 Ir 2.43
Ce 0.0000 0.0000 0.0000  8 Si 3.15, 4 Li 3.25, 4 Ir 3.25
Li 0.2500 0.7500 0.5000  4 Si 2.43
Ir 0.7500 0.2500 0.5000  4 Si 2.43

***

Entry 3:
## LiCe2Si4Ir3 (PBE)

Data for crystalline LiCe2Si4Ir3 at its relaxed geometry.

Summary:
magnetic moment: 0.00 μB per cell
final energy: -0.2611 Ha/atom
space-group type: P-4m2
ρ: 9.376 g cm⁻³
E_form (uncorrected): -8.98 eV per formula unit

a b c (Å): 4.2114 4.2114 9.7475
angles (deg): 90.00 90.00 90.00
Last column: nearest neighbours and their distance in Å.
Fractional coordinates of all 10 atoms:
Si 0.0000 0.0000 0.0000  4 Ir 2.43
Si 0.5000 0.0000 0.6291  3 Ir 2.39-2.45, 2 Li 2.45
Si 0.5000 0.5000 0.0000  4 Ir 2.43
Si 0.0000 0.5000 0.3709  3 Ir 2.39-2.45, 2 Li 2.45
Ir 0.0000 0.0000 0.5000  4 Si 2.45
Ir 0.0000 0.5000 0.1252  5 Si 2.39-2.43
Ir 0.5000 0.0000 0.8748  5 Si 2.39-2.43
Ce 0.0000 0.5000 0.7517  8 Si 3.21, 6 Ir 3.21-3.23, 2 Li 3.23
Ce 0.5000 0.0000 0.2483  8 Si 3.21, 6 Ir 3.21-3.23, 2 Li 3.23
Li 0.5000 0.5000 0.5000  4 Si 2.45

***

Entry 4:
## LiCe2Si2Ir5 (PBE)

Data for crystalline LiCe2Si2Ir5 at its relaxed geometry.

Summary:
magnetic moment: 1.21 μB per cell
final energy: -0.2763 Ha/atom
space-group type: P4/mbm
ρ: 12.803 g cm⁻³
E_form (uncorrected): -6.26 eV per formula unit

a b c (Å): 3.5633 9.7446 9.7446
angles (deg): 90.00 90.00 90.00
Last column: nearest neighbours and their distance in Å.
Fractional coordinates of all 20 atoms:
Ir 0.5000 0.2124 0.0672  2 Si 2.45
Ir 0.5000 0.2876 0.5672  2 Si 2.45
Ir 0.5000 0.7124 0.4328  2 Si 2.45
Ir 0.5000 0.5672 0.7124  2 Si 2.45
Ir 0.5000 0.0672 0.7876  2 Si 2.45
Ir 0.5000 0.5000 0.0000  4 Si 2.48
Ir 0.5000 0.4328 0.2876  2 Si 2.45
Ir 0.5000 0.0000 0.5000  4 Si 2.48
Ir 0.5000 0.7876 0.9328  2 Si 2.45
Ir 0.5000 0.9328 0.2124  2 Si 2.45
Si 0.0000 0.1249 0.6249  6 Ir 2.45-2.48
Si 0.0000 0.3751 0.1249  6 Ir 2.45-2.48
Si 0.0000 0.6249 0.8751  6 Ir 2.45-2.48
Si 0.0000 0.8751 0.3751  6 Ir 2.45-2.48
Ce 0.0000 0.8245 0.6755  3 Si 2.75-2.97, 2 Ir 3.00
Ce 0.0000 0.1755 0.3245  3 Si 2.75-2.97, 2 Ir 3.00
Ce 0.0000 0.3245 0.8245  3 Si 2.75-2.97, 2 Ir 3.00
Ce 0.0000 0.6755 0.1755  3 Si 2.75-2.97, 2 Ir 3.00
Li 0.0000 0.5000 0.5000  8 Ir 2.81
Li 0.0000 0.0000 0.0000  8 Ir 2.81

***

Entry 5:
## LiCeSmIr (PBE)

Data for crystalline LiCeSmIr at its relaxed geometry.

Summary:
energy of formation: -1.5 eV/f.u.
magnetic moment: 0.67 μB per cell
final energy: -0.2104 Ha/atom
space-group type: F-43m
ρ: 9.103 g cm⁻³

a b c (Å): 5.0174 5.0174 5.0174
angles (deg): 60.00 60.00 60.00
Last column: nearest neighbours and their distance in Å.
Fractional coordinates of all 4 atoms:
Li 0.5000 0.5000 0.5000  4 Sm 3.07, 4 Ce 3.07
Ce 0.2500 0.2500 0.2500  4 Li 3.07, 4 Ir 3.07
Ir 0.0000 0.0000 0.0000  4 Ce 3.07, 4 Sm 3.07
Sm 0.7500 0.7500 0.7500  4 Li 3.07, 4 Ir 3.07

***

Entry 6:
## LiCeTiIr (PBE)

Data for crystalline LiCeTiIr at its relaxed geometry.

Summary:
energy of formation: -0.9 eV/f.u.
magnetic moment: 1.48 μB per cell
final energy: -0.2344 Ha/atom
space-group type: F-43m
ρ: 8.604 g cm⁻³

a b c (Å): 4.7276 4.7276 4.7276
angles (deg): 60.00 60.00 60.00
Last column: nearest neighbours and their distance in Å.
Fractional coordinates of all 4 atoms:
Ti 0.7500 0.7500 0.7500  4 Li 2.90, 4 Ir 2.90
Li 0.5000 0.5000 0.5000  4 Ti 2.90, 4 Ce 2.90
Ce 0.2500 0.2500 0.2500  4 Li 2.90, 4 Ir 2.90
Ir 0.0000 0.0000 0.0000  4 Ce 2.90, 4 Ti 2.90

***

Entry 7:
## LiCeTlIr (PBE)

Data for crystalline LiCeTlIr at its relaxed geometry.

Summary:
energy of formation: -1.2 eV/f.u.
magnetic moment: 0.00 μB per cell
final energy: -0.1866 Ha/atom
space-group type: F-43m
ρ: 11.248 g cm⁻³

a b c (Å): 4.8417 4.8417 4.8417
angles (deg): 60.00 60.00 60.00
Last column: nearest neighbours and their distance in Å.
Fractional coordinates of all 4 atoms:
Ir 0.0000 0.0000 0.0000  4 Ce 2.96, 4 Tl 2.96
Li 0.5000 0.5000 0.5000  4 Tl 2.96, 4 Ce 2.96
Ce 0.7500 0.7500 0.7500  4 Ir 2.96, 4 Li 2.96
Tl 0.2500 0.2500 0.2500  4 Li 2.96, 4 Ir 2.96

***

Entry 8:
## LiCeYIr (PBE)

Data for crystalline LiCeYIr at its relaxed geometry.

Summary:
energy of formation: -1.7 eV/f.u.
magnetic moment: 0.65 μB per cell
final energy: -0.2282 Ha/atom
space-group type: F-43m
ρ: 8.165 g cm⁻³

a b c (Å): 4.9752 4.9752 4.9752
angles (deg): 60.00 60.00 60.00
Last column: nearest neighbours and their distance in Å.
Fractional coordinates of all 4 atoms:
Ir 0.2500 0.2500 0.2500  4 Y 3.05, 4 Ce 3.05
Ce 0.0000 0.0000 0.0000  4 Li 3.05, 4 Ir 3.05
Li 0.7500 0.7500 0.7500  4 Ce 3.05, 4 Y 3.05
Y 0.5000 0.5000 0.5000  4 Li 3.05, 4 Ir 3.05

***

Entry 9:
## LiCeZrIr (PBE)

Data for crystalline LiCeZrIr at its relaxed geometry.

Summary:
energy of formation: -1.2 eV/f.u.
magnetic moment: 0.70 μB per cell
final energy: -0.2428 Ha/atom
space-group type: F-43m
ρ: 8.919 g cm⁻³

a b c (Å): 4.8396 4.8396 4.8396
angles (deg): 60.00 60.00 60.00
Last column: nearest neighbours and their distance in Å.
Fractional coordinates of all 4 atoms:
Li 0.2500 0.2500 0.2500  4 Zr 2.96, 4 Ce 2.96
Ir 0.7500 0.7500 0.7500  4 Ce 2.96, 4 Zr 2.96
Zr 0.0000 0.0000 0.0000  4 Ir 2.96, 4 Li 2.96
Ce 0.5000 0.5000 0.5000  4 Li 2.96, 4 Ir 2.96

***

Entry 10:
## Ce2LuIr (PBE)

Data for crystalline Ce2LuIr at its relaxed geometry.

Summary:
energy of formation: -0.2 eV/f.u.
magnetic moment: 1.52 μB per cell
distance to the lowest polymorph of the same formula: 248 meV per atom
final energy: -0.2335 Ha/atom
space-group type: R-3m
ρ: 9.014 g cm⁻³

a b c (Å): 3.6867 3.6867 10.3530
angles (deg): 79.74 79.74 60.00
Last column: nearest neighbours and their distance in Å.
Fractional coordinates of all 4 atoms:
Ce 0.8924 0.8924 0.3229  3 Ir 2.78
Ce 0.1076 0.1076 0.6771  3 Ir 2.78
Lu 0.0000 0.0000 0.0000  2 Ce 3.27
Ir 0.5000 0.5000 0.5000  6 Ce 2.78

***

Entry 11:
## CeLuIr (PBE)

Data for crystalline CeLuIr at its relaxed geometry.

Summary:
energy of formation: -1.5 eV/f.u.
magnetic moment: 1.02 μB per cell
distance to the lowest polymorph of the same formula: 69 meV per atom
final energy: -0.2554 Ha/atom
space-group type: P3m1
ρ: 9.878 g cm⁻³

a b c (Å): 5.9919 4.0540 4.0540
angles (deg): 120.00 90.00 90.00
Last column: nearest neighbours and their distance in Å.
Fractional coordinates of all 3 atoms:
Ce 0.2450 0.3333 0.6667  3 Ir 2.77
Ir 0.9969 0.0000 0.0000  3 Lu 2.74, 3 Ce 2.77
Lu 0.7581 0.6667 0.3333  3 Ir 2.74

***

Entry 12:
## CeLuIr4 (PBE)

Data for crystalline CeLuIr4 at its relaxed geometry.

Summary:
energy of formation: -4.8 eV/f.u.
magnetic moment: 0.00 μB per cell
final energy: -0.3102 Ha/atom
space-group type: F-43m
ρ: 16.533 g cm⁻³

a b c (Å): 5.3597 5.3597 5.3597
angles (deg): 60.00 60.00 60.00
Last column: nearest neighbours and their distance in Å.
Fractional coordinates of all 6 atoms:
Ir 0.6254 0.6254 0.1237  6 Ir 2.67-2.69
Ir 0.1237 0.6254 0.6254  6 Ir 2.67-2.69
Ir 0.6254 0.1237 0.6254  6 Ir 2.67-2.69
Ir 0.6254 0.6254 0.6254  6 Ir 2.67-2.69
Ce 0.2500 0.2500 0.2500  12 Ir 3.14, 4 Lu 3.28
Lu 0.0000 0.0000 0.0000  12 Ir 3.14, 4 Ce 3.28

***

Entry 13:
## CeLuIr (PBE)

Data for crystalline CeLuIr at its relaxed geometry.

Summary:
energy of formation: -1.6 eV/f.u.
magnetic moment: 1.35 μB per cell
distance to the lowest polymorph of the same formula: 53 meV per atom
final energy: -0.2561 Ha/atom
space-group type: I4mm
ρ: 11.442 g cm⁻³

a b c (Å): 3.4583 3.4583 6.6239
angles (deg): 105.13 105.13 90.00
Last column: nearest neighbours and their distance in Å.
Fractional coordinates of all 3 atoms:
Ce 0.0320 0.0320 0.0640  4 Ir 2.98, 1 Lu 3.28
Ir 0.6700 0.6700 0.3399  4 Lu 2.91, 4 Ce 2.98
Lu 0.2980 0.2980 0.5961  4 Ir 2.91

***

Entry 14:
## CeLuIr (PBE)

Data for crystalline CeLuIr at its relaxed geometry.

Summary:
energy of formation: -1.7 eV/f.u.
magnetic moment: 0.75 μB per cell
distance to the lowest polymorph of the same formula: 0 meV per atom
final energy: -0.2580 Ha/atom
space-group type: F-43m
ρ: 10.745 g cm⁻³

a b c (Å): 4.8041 4.8041 4.8041
angles (deg): 60.00 60.00 60.00
Last column: nearest neighbours and their distance in Å.
Fractional coordinates of all 3 atoms:
Ir 0.2500 0.2500 0.2500  4 Lu 2.94, 4 Ce 2.94
Ce 0.5000 0.5000 0.5000  4 Ir 2.94
Lu 0.0000 0.0000 0.0000  4 Ir 2.94

***

Entry 15:
## Ce2LuIr (PBE)

Data for crystalline Ce2LuIr at its relaxed geometry.

Summary:
energy of formation: -1.2 eV/f.u.
magnetic moment: 0.24 μB per cell
distance to the lowest polymorph of the same formula: 0 meV per atom
final energy: -0.2427 Ha/atom
space-group type: P4/mmm
ρ: 10.690 g cm⁻³

a b c (Å): 3.7482 3.7482 7.1587
angles (deg): 90.00 90.00 90.00
Last column: nearest neighbours and their distance in Å.
Fractional coordinates of all 4 atoms:
Lu 0.5000 0.5000 0.5000  8 Ce 3.42, 2 Ir 3.58, 4 Lu 3.75
Ir 0.5000 0.5000 0.0000  8 Ce 3.00
Ce 0.0000 0.0000 0.1973  1 Ce 2.82, 4 Ir 3.00
Ce 0.0000 0.0000 0.8027  1 Ce 2.82, 4 Ir 3.00

***

Entry 16:
## CeLuNiIr (PBE)

Data for crystalline CeLuNiIr at its relaxed geometry.

Summary:
energy of formation: -2.4 eV/f.u.
magnetic moment: 0.22 μB per cell
final energy: -0.2524 Ha/atom
space-group type: F-43m
ρ: 11.854 g cm⁻³

a b c (Å): 4.8221 4.8221 4.8221
angles (deg): 60.00 60.00 60.00
Last column: nearest neighbours and their distance in Å.
Fractional coordinates of all 4 atoms:
Ni 0.2500 0.2500 0.2500  4 Ce 2.95, 4 Lu 2.95
Ce 0.5000 0.5000 0.5000  4 Ni 2.95, 4 Ir 2.95
Ir 0.7500 0.7500 0.7500  4 Lu 2.95, 4 Ce 2.95
Lu 0.0000 0.0000 0.0000  4 Ni 2.95, 4 Ir 2.95

***

Entry 17:
## CeLuIrRu (PBE)

Data for crystalline CeLuIrRu at its relaxed geometry.

Summary:
energy of formation: -2.4 eV/f.u.
magnetic moment: 0.13 μB per cell
final energy: -0.2851 Ha/atom
space-group type: F-43m
ρ: 12.674 g cm⁻³

a b c (Å): 4.8306 4.8306 4.8306
angles (deg): 60.00 60.00 60.00
Last column: nearest neighbours and their distance in Å.
Fractional coordinates of all 4 atoms:
Ru 0.2500 0.2500 0.2500  4 Ce 2.96, 4 Lu 2.96
Lu 0.5000 0.5000 0.5000  4 Ir 2.96, 4 Ru 2.96
Ce 0.0000 0.0000 0.0000  4 Ru 2.96, 4 Ir 2.96
Ir 0.7500 0.7500 0.7500  4 Ce 2.96, 4 Lu 2.96

***

Entry 18:
## CeLuTcIr (PBE)

Data for crystalline CeLuTcIr at its relaxed geometry.

Summary:
energy of formation: -1.8 eV/f.u.
magnetic moment: 0.00 μB per cell
final energy: -0.2891 Ha/atom
space-group type: F-43m
ρ: 12.616 g cm⁻³

a b c (Å): 4.8298 4.8298 4.8298
angles (deg): 60.00 60.00 60.00
Last column: nearest neighbours and their distance in Å.
Fractional coordinates of all 4 atoms:
Lu 0.5000 0.5000 0.5000  4 Tc 2.96, 4 Ir 2.96
Ir 0.7500 0.7500 0.7500  4 Ce 2.96, 4 Lu 2.96
Tc 0.2500 0.2500 0.2500  4 Ce 2.96, 4 Lu 2.96
Ce 0.0000 0.0000 0.0000  4 Ir 2.96, 4 Tc 2.96

***

Entry 19:
## CeLuTlIr (PBE)

Data for crystalline CeLuTlIr at its relaxed geometry.

Summary:
energy of formation: -1.5 eV/f.u.
magnetic moment: 0.42 μB per cell
final energy: -0.2134 Ha/atom
space-group type: F-43m
ρ: 12.489 g cm⁻³

a b c (Å): 5.1149 5.1149 5.1149
angles (deg): 60.00 60.00 60.00
Last column: nearest neighbours and their distance in Å.
Fractional coordinates of all 4 atoms:
Ir 0.0000 0.0000 0.0000  4 Ce 3.13, 4 Lu 3.13
Ce 0.2500 0.2500 0.2500  4 Tl 3.13, 4 Ir 3.13
Tl 0.5000 0.5000 0.5000  4 Lu 3.13, 4 Ce 3.13
Lu 0.7500 0.7500 0.7500  4 Tl 3.13, 4 Ir 3.13

***

Entry 20:
## CeLuZnIr (PBE)

Data for crystalline CeLuZnIr at its relaxed geometry.

Summary:
energy of formation: -2.2 eV/f.u.
magnetic moment: 0.67 μB per cell
final energy: -0.2095 Ha/atom
space-group type: F-43m
ρ: 11.195 g cm⁻³

a b c (Å): 4.9343 4.9343 4.9343
angles (deg): 60.00 60.00 60.00
Last column: nearest neighbours and their distance in Å.
Fractional coordinates of all 4 atoms:
Zn 0.0000 0.0000 0.0000  4 Ce 3.02, 4 Lu 3.02
Ir 0.5000 0.5000 0.5000  4 Ce 3.02, 4 Lu 3.02
Lu 0.7500 0.7500 0.7500  4 Zn 3.02, 4 Ir 3.02
Ce 0.2500 0.2500 0.2500  4 Ir 3.02, 4 Zn 3.02